# MgGaSn2

A relaxed MgGaSn2 crystal (PBE-GGA, the Alexandria database). Values from VASP.

The structure in Quantum ESPRESSO input format:
```
&SYSTEM
  ibrav = 0, nat = 4, ntyp = 3
/
ATOMIC_SPECIES
Mg 24.30 Mg.upf
Ga 69.72 Ga.upf
Sn 118.71 Sn.upf
CELL_PARAMETERS angstrom
4.5268 0.0000 0.0000
2.2634 3.9203 0.0000
2.2634 1.3068 5.8599
ATOMIC_POSITIONS crystal
Mg 0.4986 0.4986 0.5041
Ga 0.6690 0.6690 0.9930
Sn 0.0787 0.0787 0.7639
Sn 0.2537 0.2537 0.2389
```

- Total moment: 0.0 μB/cell
- DFT total energy: -3.122 eV/atom
- Energy relative to the lowest polymorph listed for this composition: 75 meV/atom